This record from the Alexandria database describes crystalline Ac6Ge3Pd at its relaxed geometry. The functional is PBE-GGA.

Cell and atoms, written as POSCAR:
```
Ac6Ge3Pd
1.0
7.217 0.000 0.000
0.000 8.592 0.000
-6.826 0.000 11.539
Ac Ge Pd
12 6 2
Direct
0.082 0.185 0.427
0.082 0.315 0.927
0.264 0.674 0.417
0.264 0.826 0.917
0.405 0.047 0.248
0.405 0.453 0.748
0.595 0.547 0.252
0.595 0.953 0.752
0.736 0.174 0.083
0.736 0.326 0.583
0.918 0.685 0.073
0.918 0.815 0.573
0.169 0.117 0.738
0.169 0.383 0.238
0.500 0.000 0.500
0.500 0.500 0.000
0.831 0.617 0.762
0.831 0.883 0.262
0.000 0.000 0.000
0.000 0.500 0.500
```

For the spin magnetization, the calculation gives 0.116 μB/f.u. Its symmetry is P2_1/c, No. 14. The formation energy from the elements is -0.55 eV per atom.